VASP calculation (PBE) on an optimized crystal structure of Tb6YCd.

a = 9.2886 Å, b = 8.5820 Å, c = 6.3224 Å
α = 47.27°, β = 42.71°, γ = 57.21°
Last column: nearest neighbours and their distance in Å.
Element x y z (fractional)
1 Tb 0.0411 0.4495 0.7507  1 Cd 3.16, 2 Tb 3.24-3.28, 1 Y 3.47
2 Tb 0.7588 0.9590 0.7315  1 Cd 3.15, 2 Tb 3.24-3.28, 1 Y 3.47
3 Tb 0.5507 0.2412 0.1671  1 Cd 3.15, 2 Tb 3.24-3.28, 1 Y 3.47
4 Tb 0.2412 0.0410 0.2685  1 Cd 3.15, 2 Tb 3.24-3.28, 1 Y 3.47
5 Tb 0.9589 0.5505 0.2493  1 Cd 3.16, 2 Tb 3.24-3.28, 1 Y 3.47
6 Tb 0.4493 0.7588 0.8329  1 Cd 3.15, 2 Tb 3.24-3.28, 1 Y 3.47
7 Y 0.5000 0.5000 0.5000  12 Tb 3.47-3.65
8 Cd 0.0000 0.0000 0.0000  6 Tb 3.15-3.16

Values from the calculation:
Formation enthalpy at 0 K, meV per atom: 49
Electronic total energy, eV per atom: -4.346
Total magnetization, μB per cell: 0.00

---

VASP calculation (PBE) on an optimized crystal structure of TbY5Cd6.

a = 5.2978 Å, b = 7.5152 Å, c = 8.3920 Å
α = 90.00°, β = 71.60°, γ = 90.00°
Last column: nearest neighbours and their distance in Å.
Element x y z (fractional)
1 Y 0.6663 0.5000 0.6675  8 Cd 3.24-3.25
2 Y 0.3331 0.0000 0.3339  8 Cd 3.25
3 Y 0.0000 0.5000 0.0000  8 Cd 3.25
4 Y 0.6669 0.0000 0.6661  8 Cd 3.25
5 Y 0.3337 0.5000 0.3325  8 Cd 3.24-3.25
6 Tb 0.0000 0.0000 0.0000  8 Cd 3.25-3.26
7 Cd 0.8333 0.7494 0.3334  7 Y 3.24-3.25, 1 Tb 3.26
8 Cd 0.8333 0.2506 0.3334  7 Y 3.24-3.25, 1 Tb 3.26
9 Cd 0.5000 0.2497 0.0000  2 Tb 3.25, 6 Y 3.25
10 Cd 0.5000 0.7503 0.0000  2 Tb 3.25, 6 Y 3.25
11 Cd 0.1667 0.7494 0.6666  7 Y 3.24-3.25, 1 Tb 3.26
12 Cd 0.1667 0.2506 0.6666  7 Y 3.24-3.25, 1 Tb 3.26

Values from the calculation:
Formation enthalpy at 0 K, meV per atom: -349
Electronic total energy, eV per atom: -3.886
Total magnetization, μB per cell: 0.00